A plane-wave DFT calculation with PBE was carried out for a geometry-optimized Sr2MgCu structure.

```
Sr2MgCu
1.0
-2.443 -6.545 -5.542
8.560 -2.217 -1.155
2.845 -6.647 -0.579
Sr Mg Cu
4 2 2
Direct
0.680 0.125 0.250 Sr
0.070 0.625 0.250 Sr
0.375 0.320 0.750 Sr
0.875 0.930 0.750 Sr
0.500 0.500 0.000 Mg
0.250 0.750 0.500 Mg
0.000 0.000 0.000 Cu
0.750 0.250 0.500 Cu
```

Properties
Magnetic moment   0.000 μB/f.u.
Energy of formation   0.2245 eV/atom
Total energy   -2.039 eV per atom
DOS(E_F)   5.68 states/eV per cell


A plane-wave DFT calculation with PBE was carried out for a geometry-optimized TbNd3Sm12 structure.

```
TbNd3Sm12
1.0
-4.671 2.129 -0.189
-0.910 -1.572 4.805
7.733 17.610 7.227
Tb Nd Sm
1 3 12
Direct
0.000 0.000 0.000 Tb
0.000 0.000 0.249 Nd
0.000 0.000 0.500 Nd
0.000 0.000 0.751 Nd
0.500 0.500 0.000 Sm
0.500 0.500 0.249 Sm
0.500 0.500 0.500 Sm
0.500 0.500 0.751 Sm
0.500 0.000 0.124 Sm
0.500 0.000 0.374 Sm
0.500 0.000 0.626 Sm
0.500 0.000 0.876 Sm
0.000 0.500 0.124 Sm
0.000 0.500 0.374 Sm
0.000 0.500 0.626 Sm
0.000 0.500 0.876 Sm
```

Properties
Magnetic moment   0.000 μB/f.u.
Energy of formation   0.0142 eV/atom
Total energy   -4.708 eV per atom
DOS(E_F)   23.43 states/eV per cell


A plane-wave DFT calculation with PBE was carried out for a geometry-optimized Ti7Rh2N2 structure.

```
Ti7Rh2N2
1.0
-3.683 -3.896 -0.621
1.665 -2.337 4.788
-2.554 3.862 2.774
Ti Rh N
7 2 2
Direct
0.000 0.236 0.500 Ti
0.500 0.764 0.000 Ti
0.000 0.764 0.500 Ti
0.500 0.236 0.000 Ti
0.000 0.000 0.000 Ti
0.500 0.769 0.500 Ti
0.500 0.231 0.500 Ti
0.811 0.500 0.811 Rh
0.189 0.500 0.189 Rh
0.727 0.000 0.273 N
0.273 0.000 0.727 N
```

Properties
Formation energy (no corrections)   -703.9 kJ/mol of formula units
Magnetic moment   0.000 μB/f.u.
Total energy   -8.538 eV per atom
DOS(E_F)   10.92 states/eV per cell


A plane-wave DFT calculation with PBE was carried out for a geometry-optimized HfZr2CdC structure.

```
HfZr2CdC
1.0
4.588 0.000 0.000
0.000 4.588 0.000
0.000 0.000 4.511
C Hf Zr Cd
1 1 2 1
Direct
0.000 0.000 0.000 C
0.000 0.000 0.500 Hf
0.000 0.500 0.000 Zr
0.500 0.000 0.000 Zr
0.500 0.500 0.500 Cd
```

Properties
Magnetic moment   0.000 μB/f.u.
Relative energy among the computed polymorphs   0.00 kcal/mol of atoms
Energy of formation   -0.4253 eV/atom
Total energy   -7.863 eV per atom
DOS(E_F)   2.19 states/eV per cell